! SrFeCo2 PBE-GGA relaxed; values from VASP
! Energy relative to the elements: 0.830 eV per atom
! Space-group type: F-43m
! DOS at the Fermi energy: 3.8 states/eV/f.u.
! Energy above the lowest structure with this stoichiometry: 638 meV/atom
! Electronic total energy: -5.2590 eV per atom
&SYSTEM
  ibrav = 0, nat = 4, ntyp = 3
/
ATOMIC_SPECIES
Co 58.93 Co.upf
Fe 55.84 Fe.upf
Sr 87.62 Sr.upf
CELL_PARAMETERS angstrom
-3.4352 2.6499 1.1908
-4.1859 -1.0280 -1.2891
-2.9997 -1.4320 3.0318
ATOMIC_POSITIONS crystal
Co 0.0000 0.0000 0.0000
Co 0.7500 0.7500 0.7500
Fe 0.5000 0.5000 0.5000
Sr 0.2500 0.2500 0.2500

! SrFeCo2 PBE-GGA relaxed; values from VASP
! Energy relative to the elements: 0.736 eV per atom
! Space-group type: Fm-3m
! DOS at the Fermi energy: 3.6 states/eV/f.u.
! Energy above the lowest structure with this stoichiometry: 544 meV/atom
! Electronic total energy: -5.3529 eV per atom
&SYSTEM
  ibrav = 0, nat = 4, ntyp = 3
/
ATOMIC_SPECIES
Sr 87.62 Sr.upf
Co 58.93 Co.upf
Fe 55.84 Fe.upf
CELL_PARAMETERS angstrom
-4.3908 -0.2108 1.0340
-1.8814 3.2323 2.5308
-2.8999 2.9210 -1.8576
ATOMIC_POSITIONS crystal
Sr 0.5000 0.5000 0.5000
Co 0.2500 0.2500 0.2500
Co 0.7500 0.7500 0.7500
Fe 0.0000 0.0000 0.0000